Record 1
# CeCdPd5 | Alexandria | GGA-PBE | relaxed
# distance to the lowest polymorph of the same formula	202	meV per atom
# formation energy from the elements	-0.291	eV/atom
# size of the total moment	0.030	μB/atom
data_CeCdPd5
_cell_length_a 5.455
_cell_length_b 6.966
_cell_length_c 7.320
_cell_angle_alpha 90.00
_cell_angle_beta 90.00
_cell_angle_gamma 90.00
_symmetry_space_group_name_H-M 'I m m 2'
_symmetry_Int_Tables_number 44
_symmetry_space_group_name_Hall 'I 2 -2'
loop_
_atom_site_label
_atom_site_fract_x
_atom_site_fract_y
_atom_site_fract_z
_atom_site_occupancy
Ce1 0.000 0.000 0.000 1
Cd1 0.000 0.500 0.852 1
Pd1 0.000 0.000 0.334 1
Pd2 0.000 0.311 0.519 1
Pd3 0.245 0.500 0.195 1

Record 2
# Li3Pm2CuGe4 | Alexandria | GGA-PBE | relaxed
# formation energy from the elements	-0.530	eV/atom
# size of the total moment	0.000	μB/atom
data_Li3Pm2CuGe4
_cell_length_a 4.239
_cell_length_b 4.239
_cell_length_c 10.087
_cell_angle_alpha 90.00
_cell_angle_beta 90.00
_cell_angle_gamma 90.00
_symmetry_space_group_name_H-M 'P -4 m 2'
_symmetry_Int_Tables_number 115
_symmetry_space_group_name_Hall 'P -4 -2'
loop_
_atom_site_label
_atom_site_fract_x
_atom_site_fract_y
_atom_site_fract_z
_atom_site_occupancy
Li1 0.000 0.000 0.000 1
Li2 0.000 0.500 0.634 1
Pm1 0.000 0.500 0.247 1
Cu1 0.500 0.500 0.000 1
Ge1 0.000 0.000 0.500 1
Ge2 0.000 0.500 0.874 1
Ge3 0.500 0.500 0.500 1